1.
VASP calculation (PBE-GGA) on a geometry-optimized LaPm4Er structure.

Lattice parameters (Å, degrees): 9.478 9.478 9.478 90.00 90.00 90.00
Space group F-43m (No. 216)
Inequivalent atoms, fractional coordinates:
La 0.000 0.000 0.000 x4
Pm 0.124 0.124 0.376 x16
Er 0.250 0.250 0.750 x4

Properties
* crystal system: cubic
* total energy: -4.50 eV per atom
* N(E_F): 1.722 states/eV/atom
* size of the total moment: 0.00 μB/f.u.

=====

2.
VASP calculation (PBE-GGA) on a geometry-optimized LaPm5Er4 structure.

Lattice parameters (Å, degrees): 17.202 3.557 11.488 90.00 109.12 90.00
Space group C2/m (No. 12)
Inequivalent atoms, fractional coordinates:
La 0.000 0.000 0.000 x2
Pm 0.000 0.000 0.500 x2
Pm 0.190 0.500 0.079 x4
Pm 0.211 0.500 0.615 x4
Er 0.083 0.500 0.293 x4
Er 0.105 0.000 0.796 x4

Properties
* crystal system: monoclinic
* total energy: -4.66 eV per atom
* N(E_F): 1.406 states/eV/atom
* size of the total moment: 0.00 μB/f.u.

=====

3.
VASP calculation (PBE-GGA) on a geometry-optimized La4Pm4Er3 structure.

Lattice parameters (Å, degrees): 10.841 5.786 12.142 90.00 90.00 90.00
Space group Amm2 (No. 38)
Inequivalent atoms, fractional coordinates:
La 0.000 0.000 0.000 x2
La 0.198 0.000 0.803 x4
La 0.500 0.000 0.931 x2
Pm 0.000 0.000 0.587 x2
Pm 0.303 0.000 0.150 x4
Pm 0.500 0.000 0.656 x2
Er 0.000 0.000 0.296 x2
Er 0.288 0.000 0.455 x4

Properties
* crystal system: orthorhombic
* total energy: -4.63 eV per atom
* N(E_F): 1.722 states/eV/atom
* size of the total moment: 0.01 μB/f.u.

=====

4.
VASP calculation (PBE-GGA) on a geometry-optimized La3Pm2Er5 structure.

Lattice parameters (Å, degrees): 10.637 16.706 9.240 90.00 125.09 90.00
Space group C2/c (No. 15)
Inequivalent atoms, fractional coordinates:
La 0.000 0.233 0.250 x4
La 0.147 0.125 0.048 x8
Pm 0.147 0.382 0.541 x8
Er 0.000 0.026 0.250 x4
Er 0.000 0.275 0.750 x4
Er 0.000 0.470 0.750 x4
Er 0.243 0.387 0.234 x8

Properties
* crystal system: monoclinic
* total energy: -4.53 eV per atom
* N(E_F): 1.459 states/eV/atom
* size of the total moment: 0.00 μB/f.u.

=====

5.
VASP calculation (PBE-GGA) on a geometry-optimized La2PmEr structure.

Lattice parameters (Å, degrees): 3.6695 3.6695 35.7186 90.00 90.00 120.00
Space group R3m (No. 160, hexagonal axes)
Inequivalent atoms, fractional coordinates:
La 0.0000 0.0000 0.0000 x3
La 0.0000 0.0000 0.1693 x3
Pm 0.0000 0.0000 0.4169 x3
Er 0.0000 0.0000 0.5854 x3

Properties
* crystal system: trigonal
* total energy: -4.77 eV per atom
* N(E_F): 1.643 states/eV/atom
* size of the total moment: 0.00 μB/f.u.

=====

6.
VASP calculation (PBE-GGA) on a geometry-optimized La12Pm2Er5 structure.

Lattice parameters (Å, degrees): 18.259 11.842 6.288 90.00 101.92 90.00
Space group C2/m (No. 12)
Inequivalent atoms, fractional coordinates:
La 0.057 0.000 0.270 x4
La 0.107 0.252 0.620 x8
La 0.116 0.500 0.008 x4
La 0.196 0.239 0.197 x8
Pm 0.000 0.266 0.000 x4
Er 0.000 0.500 0.500 x2
Er 0.182 0.000 0.858 x4
Er 0.216 0.500 0.558 x4

Properties
* crystal system: monoclinic
* total energy: -4.72 eV per atom
* N(E_F): 1.377 states/eV/atom
* size of the total moment: 0.00 μB/f.u.